# 1
{"formula": "TaWCl2", "functional": "GGA-PBE", "state": "relaxed", "n_ef_per_ev_cell": 4.5, "formation_energy_uncorrected_mev_per_atom": 1221, "magmom_total_mub_per_atom": 0.000, "sg": "Fm-3m", "e_tot_ev_per_atom": -5.90, "lattice_angstrom": [[-1.630, 0.138, 4.114], [-3.546, -2.430, 1.059], [0.434, -3.503, 2.672]], "species": ["Cl", "Cl", "W", "Ta"], "fractional_positions": [[0.250, 0.250, 0.250], [0.750, 0.750, 0.750], [0.500, 0.500, 0.500], [0.000, 0.000, 0.000]]}


# 2
{"formula": "PmDy2PaS4", "functional": "GGA-PBE", "state": "relaxed", "n_ef_per_ev_cell": 5.3, "formation_energy_uncorrected_mev_per_atom": -1886, "magmom_total_mub_per_atom": 0.000, "sg": "P2/m", "e_tot_ev_per_atom": -6.88, "lattice_angstrom": [[3.897, 0.000, 0.000], [0.000, 6.852, -0.176], [0.000, 2.372, 6.371]], "species": ["Pm", "Dy", "Dy", "Pa", "S", "S", "S", "S"], "fractional_positions": [[0.500, 0.500, 0.000], [0.000, 0.000, 0.000], [0.500, 0.000, 0.500], [0.000, 0.500, 0.500], [0.000, 0.758, 0.743], [0.000, 0.242, 0.257], [0.500, 0.756, 0.252], [0.500, 0.244, 0.748]]}


# 3
{"formula": "TbPr3Dy4", "functional": "GGA-PBE", "state": "relaxed", "n_ef_per_ev_cell": 12.0, "magmom_total_mub_per_atom": 0.000, "sg": "Immm", "delta_e_f_kcal_per_mol_atoms": 3.005, "e_tot_ev_per_atom": -4.54, "lattice_angstrom": [[-1.396, -2.568, 1.911], [6.839, -2.031, 5.459], [-2.750, 4.521, 7.259]], "species": ["Pr", "Pr", "Pr", "Tb", "Dy", "Dy", "Dy", "Dy"], "fractional_positions": [[0.757, 0.243, 0.243], [0.243, 0.757, 0.757], [0.000, 0.500, 0.500], [0.500, 0.000, 0.000], [0.634, 0.111, 0.620], [0.366, 0.889, 0.380], [0.366, 0.380, 0.889], [0.634, 0.620, 0.111]]}


# 4
{"formula": "AlTeOs2", "functional": "GGA-PBE", "state": "relaxed", "n_ef_per_ev_cell": 1.2, "formation_energy_uncorrected_mev_per_atom": 334, "magmom_total_mub_per_atom": 0.000, "sg": "P4/mmm", "e_tot_ev_per_atom": -7.00, "lattice_angstrom": [[-0.397, 2.906, -1.277], [-1.683, -1.851, -3.688], [-4.090, 0.215, 1.758]], "species": ["Te", "Os", "Os", "Al"], "fractional_positions": [[0.500, 0.500, 0.000], [0.000, 0.000, 0.000], [0.000, 0.500, 0.500], [0.500, 0.000, 0.500]]}


# 5
{"formula": "Nd2Pd5Au", "functional": "GGA-PBE", "state": "relaxed", "n_ef_per_ev_cell": 2.9, "magmom_total_mub_per_atom": 0.000, "sg": "Pbam", "delta_e_f_kcal_per_mol_atoms": -18.128, "e_tot_ev_per_atom": -5.63, "lattice_angstrom": [[-3.740, 0.906, -1.860], [-2.831, -1.303, 5.057], [1.010, 11.309, 3.479]], "species": ["Nd", "Nd", "Nd", "Nd", "Pd", "Pd", "Pd", "Pd", "Pd", "Pd", "Pd", "Pd", "Pd", "Pd", "Au", "Au"], "fractional_positions": [[0.500, 0.267, 0.630], [0.500, 0.733, 0.370], [0.500, 0.233, 0.130], [0.500, 0.767, 0.870], [0.000, 0.000, 0.000], [0.000, 0.500, 0.500], [0.000, 0.515, 0.750], [0.000, 0.485, 0.250], [0.000, 0.985, 0.250], [0.000, 0.015, 0.750], [0.500, 0.262, 0.878], [0.500, 0.738, 0.122], [0.500, 0.238, 0.378], [0.500, 0.762, 0.622], [0.000, 0.000, 0.500], [0.000, 0.500, 0.000]]}


# 6
{"formula": "BeHgSb", "functional": "GGA-PBE", "state": "relaxed", "n_ef_per_ev_cell": 2.1, "formation_energy_uncorrected_mev_per_atom": 315, "magmom_total_mub_per_atom": 0.000, "sg": "F-43m", "e_tot_ev_per_atom": -2.40, "lattice_angstrom": [[4.478, 0.000, 0.000], [2.239, 3.878, 0.000], [2.239, 1.293, 3.656]], "species": ["Sb", "Hg", "Be"], "fractional_positions": [[0.500, 0.500, 0.500], [0.000, 0.000, 0.000], [0.250, 0.250, 0.250]]}


# 7
{"formula": "MgTi2Br", "functional": "GGA-PBE", "state": "relaxed", "n_ef_per_ev_cell": 6.7, "formation_energy_uncorrected_mev_per_atom": 489, "magmom_total_mub_per_atom": 0.340, "sg": "Fm-3m", "e_tot_ev_per_atom": -4.28, "lattice_angstrom": [[-3.381, -0.693, 3.286], [-0.850, 3.344, 3.287], [-4.035, 2.530, -0.163]], "species": ["Mg", "Br", "Ti", "Ti"], "fractional_positions": [[0.000, 0.000, 0.000], [0.500, 0.500, 0.500], [0.250, 0.250, 0.250], [0.750, 0.750, 0.750]]}


# 8
{"formula": "Si3WBr", "functional": "GGA-PBE", "state": "relaxed", "n_ef_per_ev_cell": 6.2, "formation_energy_uncorrected_mev_per_atom": 504, "magmom_total_mub_per_atom": 0.000, "sg": "Pm-3m", "e_tot_ev_per_atom": -5.68, "lattice_angstrom": [[4.839, 0.000, 0.000], [0.000, 4.839, 0.000], [0.000, 0.000, 4.839]], "species": ["Si", "Si", "Si", "Br", "W"], "fractional_positions": [[0.000, 0.500, 0.000], [0.000, 0.000, 0.500], [0.500, 0.000, 0.000], [0.500, 0.500, 0.500], [0.000, 0.000, 0.000]]}


# 9
{"formula": "Pm6HgAu5", "functional": "GGA-PBE", "state": "relaxed", "n_ef_per_ev_cell": 8.0, "magmom_total_mub_per_atom": 0.000, "sg": "P2/m", "delta_e_f_kcal_per_mol_atoms": -16.874, "e_tot_ev_per_atom": -4.50, "lattice_angstrom": [[-0.106, 3.452, -3.971], [4.996, -4.021, -3.629], [-5.759, -5.856, -1.440]], "species": ["Au", "Au", "Au", "Au", "Au", "Hg", "Pm", "Pm", "Pm", "Pm", "Pm", "Pm"], "fractional_positions": [[0.666, 0.500, 0.333], [0.341, 0.000, 0.680], [0.000, 0.500, 0.000], [0.659, 0.000, 0.320], [0.334, 0.500, 0.667], [0.000, 0.000, 0.000], [0.830, 0.748, 0.661], [0.830, 0.252, 0.661], [0.500, 0.258, 0.000], [0.500, 0.742, 0.000], [0.170, 0.748, 0.339], [0.170, 0.252, 0.339]]}


# 10
{"formula": "GaTc3Pb", "functional": "GGA-PBE", "state": "relaxed", "n_ef_per_ev_cell": 4.3, "magmom_total_mub_per_atom": 0.705, "sg": "Pm-3m", "delta_e_f_kcal_per_mol_atoms": 29.289, "e_tot_ev_per_atom": -6.30, "lattice_angstrom": [[4.621, 0.000, 0.000], [0.000, 4.621, 0.000], [0.000, 0.000, 4.621]], "species": ["Pb", "Tc", "Tc", "Tc", "Ga"], "fractional_positions": [[0.500, 0.500, 0.500], [0.000, 0.500, 0.000], [0.000, 0.000, 0.500], [0.500, 0.000, 0.000], [0.000, 0.000, 0.000]]}